1.
Entry from the Alexandria database: a relaxed structure of YH5Os (PBE-GGA).

M_tot in μB per formula unit: 0.33
SG: Immm (71)
Electronic total energy in eV/cell: -35.6
Crystal system: orthorhombic

abc: 3.7216 4.9557 4.9557
angles: 63.18 67.95 67.95
With the nearest neighbours (Å) after each atom.
Positions (direct):
Y1 0.0046 0.0000 0.0000  6 H 2.08-2.11
H1 0.2821 0.7220 0.7220  1 Os 1.68
H2 0.7260 0.2780 0.2780  1 Os 1.68
H3 0.5046 0.8206 0.1794  1 Os 1.66, 1 H 1.86
H4 0.5046 0.1794 0.8206  1 Os 1.66, 1 H 1.86
H5 0.0045 0.5000 0.5000  2 Os 1.86
Os1 0.5045 0.5000 0.5000  6 H 1.66-1.86



2.
Entry from the Alexandria database: a relaxed structure of YH3Os (PBE-GGA).

M_tot in μB per formula unit: 0.00
SG: Pm-3m (221)
Electronic total energy in eV/cell: -29.2
Crystal system: cubic

abc: 3.6678 3.6678 3.6678
angles: 90.00 90.00 90.00
With the nearest neighbours (Å) after each atom.
Positions (direct):
H1 0.5000 0.0000 0.0000  2 Os 1.83
H2 0.0000 0.0000 0.5000  2 Os 1.83
H3 0.0000 0.5000 0.0000  2 Os 1.83
Y1 0.5000 0.5000 0.5000  12 H 2.59
Os1 0.0000 0.0000 0.0000  6 H 1.83



3.
Entry from the Alexandria database: a relaxed structure of ZnH2Os (PBE-GGA).

M_tot in μB per formula unit: 0.00
SG: Fm-3m (225)
Distance to the lowest polymorph of the same formula in meV per atom: 434
Electronic total energy in eV/cell: -15.6
Crystal system: cubic

abc: 3.6684 3.6684 3.6684
angles: 60.00 60.00 60.00
With the nearest neighbours (Å) after each atom.
Positions (direct):
Os1 0.5000 0.5000 0.5000  8 H 2.25
H1 0.7500 0.7500 0.7500  4 Zn 2.25, 4 Os 2.25
H2 0.2500 0.2500 0.2500  4 Os 2.25, 4 Zn 2.25
Zn1 0.0000 0.0000 0.0000  8 H 2.25



4.
Entry from the Alexandria database: a relaxed structure of Zn2H5Os (PBE-GGA).

M_tot in μB per formula unit: 0.00
SG: P1 (1)
Electronic total energy in eV/cell: -30.3
Crystal system: triclinic

abc: 4.7960 4.7849 4.8086
angles: 72.99 93.73 49.68
With the nearest neighbours (Å) after each atom.
Positions (direct):
Zn1 0.2040 0.7594 0.6147  3 H 1.99-2.14
Zn2 0.6309 0.7553 0.0353  3 H 1.99-2.16
H1 0.1997 0.0801 0.2392  1 Os 1.71
H2 0.2268 0.5712 0.1939  1 Os 1.64
H3 0.7070 0.0400 0.2578  1 Os 1.68
H4 0.6369 0.1273 0.7181  1 Os 1.71
H5 0.9149 0.3758 0.7116  1 Os 1.69
Os1 0.9257 0.0679 0.0065  5 H 1.64-1.71



5.
Entry from the Alexandria database: a relaxed structure of ZnH5Os (PBE-GGA).

M_tot in μB per formula unit: 0.53
SG: C2/c (15)
Electronic total energy in eV/cell: -55.9
Crystal system: monoclinic

abc: 4.8775 4.8775 6.2523
angles: 70.86 70.86 108.00
With the nearest neighbours (Å) after each atom.
Positions (direct):
H1 0.3781 0.7682 0.5703  1 Os 1.72, 1 Zn 1.73, 2 H 1.74-1.91
H2 0.2000 0.2586 0.0921  1 Os 1.72, 1 Zn 1.75
H3 0.6170 0.8830 0.2500  2 H 1.74, 2 Os 1.76
H4 0.6219 0.2318 0.4297  1 Os 1.72, 1 Zn 1.73, 2 H 1.74-1.91
H5 0.3830 0.1170 0.7500  2 H 1.74, 2 Os 1.76
H6 0.8000 0.7414 0.9079  1 Os 1.72, 1 Zn 1.75
H7 0.7586 0.7000 0.5921  1 Os 1.72, 1 Zn 1.75
H8 0.7318 0.1219 0.9297  1 Os 1.72, 1 Zn 1.73, 2 H 1.74-1.91
H9 0.2682 0.8781 0.0703  1 Os 1.72, 1 Zn 1.73, 2 H 1.74-1.91
H10 0.2414 0.3000 0.4079  1 Os 1.72, 1 Zn 1.75
Os1 0.5000 0.5000 0.5000  6 H 1.72-1.76
Os2 0.0000 0.0000 0.0000  6 H 1.72-1.76
Zn1 0.9553 0.5447 0.7500  4 H 1.73-1.75
Zn2 0.0447 0.4553 0.2500  4 H 1.73-1.75



6.
Entry from the Alexandria database: a relaxed structure of Zn2H4Os (PBE-GGA).

M_tot in μB per formula unit: 0.00
SG: P2_1/m (11)
Electronic total energy in eV/cell: -53.2
Crystal system: monoclinic

abc: 4.4425 5.5096 7.8856
angles: 115.20 90.00 90.00
With the nearest neighbours (Å) after each atom.
Positions (direct):
H1 0.7500 0.0546 0.2650  1 Os 1.72
H2 0.4429 0.3922 0.7453  1 Os 1.64, 1 H 1.71
H3 0.7500 0.3498 0.0231  1 Os 1.63
H4 0.0571 0.3922 0.7453  1 Os 1.64, 1 H 1.71
H5 0.5571 0.6078 0.2547  1 Os 1.64, 1 H 1.71
H6 0.9429 0.6078 0.2547  1 Os 1.64, 1 H 1.71
H7 0.2500 0.6502 0.9769  1 Os 1.63
H8 0.2500 0.9454 0.7350  1 Os 1.72
Zn1 0.7500 0.5734 0.5996  2 H 2.27
Zn2 0.2500 0.4266 0.4004  2 H 2.27
Zn3 0.7500 0.8548 0.9681  1 H 2.12
Zn4 0.2500 0.1452 0.0319  1 H 2.12
Os1 0.2500 0.6603 0.7730  4 H 1.63-1.72
Os2 0.7500 0.3397 0.2270  4 H 1.63-1.72